NiGeMo4C2: relaxed, PBE.

The space group is P-6m2 (No. 187) and the conventional cell measures 3.0984, 3.0984 and 12.5902 Å, with angles of 90.00, 90.00 and 120.00 degrees. The inequivalent atoms are Ni at (0.0000, 0.0000, 0.0000), Ge at (0.6667, 0.3333, 0.5000), Mo at (0.0000, 0.0000, 0.3388), Mo at (0.6667, 0.3333, 0.1567) and C at (0.3333, 0.6667, 0.2461).

The value obtained for the electronic total energy is -71.68 eV for the cell shown. The magnetic moment is 0.223 μB per formula unit.